[1]
Here is a geometry-optimized ZrMnCo structure from Alexandria. Energies are from PBE.

a b c (Å): 4.2171 4.2171 3.0320
angles (deg): 90.00 90.00 120.00
Element x y z (fractional)
Co  0.0000  0.0000  0.0457
Mn  0.3333  0.6667  0.2653
Zr  0.6667  0.3333  0.6890

Results
- ΔE to the lowest computed polymorph (eV/f.u.) = 0.83
- SG = P3m1, No. 156

***

[2]
Here is a geometry-optimized Zr2Mn2Co15 structure from Alexandria. Energies are from PBE.

a b c (Å): 6.2122 6.2122 6.2122
angles (deg): 82.91 82.91 82.91
Element x y z (fractional)
Co  0.5000  0.0000  0.0000
Co  0.6460  0.1561  0.6460
Co  0.7076  0.0000  0.2924
Co  0.0000  0.0000  0.5000
Co  0.0000  0.5000  0.0000
Co  0.0000  0.2924  0.7076
Co  0.2924  0.7076  0.0000
Co  0.8439  0.3540  0.3540
Co  0.0000  0.7076  0.2924
Co  0.3540  0.8439  0.3540
Co  0.1561  0.6460  0.6460
Co  0.6460  0.6460  0.1561
Co  0.7076  0.2924  0.0000
Co  0.3540  0.3540  0.8439
Co  0.2924  0.0000  0.7076
Mn  0.1056  0.1056  0.1056
Mn  0.8944  0.8944  0.8944
Zr  0.6524  0.6524  0.6524
Zr  0.3476  0.3476  0.3476

Results
- SG = R-3m, No. 166

***

[3]
Here is a geometry-optimized ZrMn2Co structure from Alexandria. Energies are from PBE.

a b c (Å): 4.8234 4.9528 2.8255
angles (deg): 77.80 81.26 116.33
Element x y z (fractional)
Zr  0.0000  0.5000  0.5000
Mn  0.5000  0.0000  0.5000
Mn  0.0000  0.0000  0.0000
Co  0.5000  0.5000  0.0000

Results
- SG = C2/m, No. 12

***

[4]
Here is a geometry-optimized Zr8MnCo2 structure from Alexandria. Energies are from PBE.

a b c (Å): 5.2643 7.2305 7.2305
angles (deg): 119.40 101.30 101.30
Element x y z (fractional)
Zr  0.5761  0.3434  0.1016
Zr  0.1659  0.3673  0.3673
Zr  0.4238  0.6628  0.9046
Zr  0.5761  0.1016  0.3434
Zr  0.4238  0.9046  0.6628
Zr  0.9999  0.2181  0.7880
Zr  0.9999  0.7880  0.2181
Zr  0.8340  0.6389  0.6389
Co  0.4998  0.7131  0.2930
Co  0.4998  0.2930  0.7131
Mn  0.0005  0.0031  0.0031

Results
- SG = C2/m, No. 12

***

[5]
Here is a geometry-optimized ZrMnCo structure from Alexandria. Energies are from PBE.

a b c (Å): 3.1544 4.3679 6.9215
angles (deg): 90.00 103.17 90.00
Element x y z (fractional)
Co  0.5790  0.2500  0.1580
Co  0.4210  0.7500  0.8420
Zr  0.9110  0.2500  0.8220
Zr  0.0890  0.7500  0.1780
Mn  0.7680  0.7500  0.5360
Mn  0.2320  0.2500  0.4640

Results
- ΔE to the lowest computed polymorph (eV/f.u.) = 0.55
- SG = Cmcm, No. 63

***

[6]
Here is a geometry-optimized ZrMn2Co structure from Alexandria. Energies are from PBE.

a b c (Å): 3.6644 3.6644 9.5975
angles (deg): 78.99 78.99 90.00
Element x y z (fractional)
Zr  0.0000  0.0000  0.0000
Zr  0.7500  0.2500  0.5000
Mn  0.6086  0.1250  0.2500
Mn  0.8750  0.8586  0.7500
Mn  0.1414  0.6250  0.2500
Mn  0.3750  0.3914  0.7500
Co  0.5000  0.5000  0.0000
Co  0.2500  0.7500  0.5000

Results
- SG = I-42d, No. 122

***

no.,formation energy from the elements (kcal/mol of atoms),calculated volume (Å³ per cell)
1,0.4,47
2,-2.2,235
3,5.0,57
4,-0.1,221
5,-1.7,93
6,9.1,124